A relaxed structure of TlCdSnPd2, computed with GGA-PBE.

For the energy of formation from the pure elements, the calculation gives 0.6784 eV per atom. The space group is No. 123. The magnetic moment is 0.0 μB/f.u. As for the calculated total energy: -14.28 eV/cell. The density of states at the Fermi level comes out at 3.16 states/eV/f.u.

Structure (POSCAR):
```
TlCdSnPd2
1.0
-1.871 0.926 -4.679
1.339 -5.081 -1.542
-4.602 -1.671 1.509
Pd Tl Sn Cd
2 1 1 1
direct
0.500 0.000 0.000
0.000 0.000 0.500
0.000 0.000 0.000
0.000 0.500 0.000
0.500 0.500 0.500
```